No. 1
The following is a DFT calculation (GGA-PBE) of Y2MgScC after structural relaxation.

Cell and atoms, written as extended XYZ:
```
5
Lattice="-4.3754 1.4282 -2.0688 -2.2379 -4.1047 1.8993 -1.0272 2.3000 3.7603" Properties=species:S:1:pos:R:3 pbc="T T T"
Y -1.1190 -2.0523 0.9496
Y -2.1877 0.7141 -1.0344
C 0.0000 0.0000 0.0000
Mg -3.8203 -0.1882 1.7954
Sc -0.5136 1.1500 1.8802
```

energy of formation: -5.90 kcal/mol of atoms
space group: P4/mmm (123)
mass density: 3.73 g cm⁻³

=====

No. 2
The following is a DFT calculation (GGA-PBE) of Mg8Al2Au after structural relaxation.

Cell and atoms, written as extended XYZ:
```
11
Lattice="4.8876 0.0000 0.0000 0.0000 6.4582 -0.1985 -2.4438 -2.9949 7.4197" Properties=species:S:1:pos:R:3 pbc="T T T"
Mg 2.4438 3.3698 4.5701
Mg 0.0000 -1.3614 5.2867
Mg 0.0000 0.0935 2.6510
Mg 2.4438 -1.3480 7.3633
Mg 0.0000 4.8112 -0.1421
Mg 2.4438 1.7807 2.0087
Mg 2.4438 4.8246 1.9344
Mg 0.0000 1.6825 5.2124
Al 0.0000 3.3131 2.5634
Al 2.4438 0.1502 4.6577
Au 2.4438 0.0000 0.0000
```

energy of formation: -2.68 kcal/mol of atoms
space group: C2/m (12)
mass density: 3.20 g cm⁻³

=====

No. 3
The following is a DFT calculation (GGA-PBE) of BaGePb2 after structural relaxation.

Cell and atoms, written as extended XYZ:
```
4
Lattice="5.0879 0.0000 0.0000 0.0000 4.9432 0.0000 0.0000 0.0000 4.9432" Properties=species:S:1:pos:R:3 pbc="T T T"
Pb 0.0000 2.4716 0.0000
Pb 0.0000 0.0000 2.4716
Ge 2.5440 2.4716 2.4716
Ba 2.5440 0.0000 0.0000
```

energy of formation: -5.23 kcal/mol of atoms
space group: P4/mmm (123)
mass density: 8.34 g cm⁻³

=====

no.,uncorrected energy (eV/atom)
1,-6.2717
2,-2.2545
3,-3.7162